Record 1
First-principles (PBE-GGA) data for a relaxed Al2IrBr crystal, as listed in Alexandria.

POSCAR file:
```
Al2IrBr
1.0
-1.0483 -0.4404 -3.0053
-2.8274 -1.0187 1.1355
-2.6978 7.3384 -0.1344
Ir Al Br
1 2 1
Cartesian
-4.4993 6.2379 -1.0625
-2.6242 1.1375 -0.9691
-2.2018 5.9890 -0.1097
-1.2950 3.5225 -0.0645
```

Output
E_form (uncorrected)   -0.21 eV per atom
V   80.7 Å³/cell
DOS(E_F)   0.214 states/eV per atom
ΔE to the lowest computed polymorph   302.6 meV/atom

---

Record 2
First-principles (PBE-GGA) data for a relaxed ZrAlAu crystal, as listed in Alexandria.

POSCAR file:
```
ZrAlAu
1.0
4.0476 0.0000 0.0000
0.0000 4.0476 0.0000
0.0000 0.0000 7.0177
Al Zr Au
2 2 2
Cartesian
0.0000 0.0000 3.5089
2.0238 2.0238 3.5089
2.0238 0.0000 6.0110
0.0000 2.0238 1.0067
2.0238 0.0000 1.8090
0.0000 2.0238 5.2088
```

Output
V   115.0 Å³/cell
DOS(E_F)   0.780 states/eV per atom
Formation energy   -0.51 eV/atom

---

Record 3
First-principles (PBE-GGA) data for a relaxed SrCd4In crystal, as listed in Alexandria.

POSCAR file:
```
SrCd4In
1.0
-4.1630 -2.8411 -0.8738
3.4681 -1.5331 3.4339
-3.4769 3.5398 5.0586
Cd Sr In
4 1 1
Cartesian
-3.4933 1.4965 4.1644
-0.7027 -2.3649 3.4247
-1.6272 -0.3957 1.4270
-2.5688 -0.4727 6.1621
-0.0159 0.9866 4.2318
-1.7562 2.7551 6.7603
```

Output
V   160.6 Å³/cell
DOS(E_F)   0.634 states/eV per atom
Formation energy   -0.21 eV/atom
ΔE to the lowest computed polymorph   0.0 meV/atom

---

Record 4
First-principles (PBE-GGA) data for a relaxed YW3Br crystal, as listed in Alexandria.

POSCAR file:
```
YW3Br
1.0
-4.2545 0.9914 -1.7149
-0.6684 -4.5432 -0.9681
-1.8647 -0.6334 4.2599
Y W Br
1 3 1
Cartesian
-3.3938 -2.0926 0.7884
-0.3342 -2.2716 -0.4841
-2.1273 0.4957 -0.8575
-0.9323 -0.3167 2.1299
0.0000 0.0000 0.0000
```

Output
E_form (uncorrected)   1.67 eV per atom
V   103.4 Å³/cell
DOS(E_F)   1.894 states/eV per atom
ΔE to the lowest computed polymorph   0.0 meV/atom

---

Record 5
First-principles (PBE-GGA) data for a relaxed CeTaP2Ru5 crystal, as listed in Alexandria.

POSCAR file:
```
CeTaP2Ru5
1.0
-1.8820 1.7257 3.3086
2.7538 -1.8583 2.5357
5.6766 7.4885 -0.6769
Ru Ta Ce P
5 1 1 2
Cartesian
-0.0096 2.0915 1.5432
3.8042 7.1227 1.0885
6.1221 5.3307 0.7020
3.2742 3.6780 2.5837
2.3083 0.2996 1.1568
0.0000 0.0000 0.0000
2.8383 3.7443 -0.3384
4.6389 5.4782 2.4209
1.9095 1.8777 2.7464
```

Output
V   164.6 Å³/cell
DOS(E_F)   0.870 states/eV per atom
Formation energy   -0.31 eV/atom

---

Record 6
First-principles (PBE-GGA) data for a relaxed Sr2CaZn3Au4 crystal, as listed in Alexandria.

POSCAR file:
```
Sr2CaZn3Au4
1.0
-0.0436 1.1874 -4.3104
-1.5047 -4.0630 -1.1040
-11.2465 3.8462 1.1732
Zn Au Sr Ca
3 4 2 1
Cartesian
-2.1105 -1.5671 -0.4103
-9.9102 3.9754 -1.1237
-5.6232 1.9231 0.5866
-7.4493 3.1338 -1.3804
-0.7741 -1.4378 -2.7072
-4.5713 -0.7255 -0.1536
0.0000 0.0000 0.0000
-9.4856 0.9551 0.3590
-2.5351 1.4532 -1.8930
-6.3974 0.4852 -2.1206
```

Output
V   238.8 Å³/cell
DOS(E_F)   0.608 states/eV per atom
Formation energy   -0.54 eV/atom

---

Record 7
First-principles (PBE-GGA) data for a relaxed K2NaHgO crystal, as listed in Alexandria.

POSCAR file:
```
K2NaHgO
1.0
5.5731 0.0000 0.0000
0.0000 5.5731 0.0000
0.0000 0.0000 4.5996
Hg K O Na
1 2 1 1
Cartesian
2.7866 2.7866 2.2998
0.0000 2.7866 0.0000
2.7866 0.0000 0.0000
0.0000 0.0000 0.0000
0.0000 0.0000 2.2998
```

Output
E_form (uncorrected)   -0.67 eV per atom
V   142.9 Å³/cell
DOS(E_F)   0.481 states/eV per atom

---

Record 8
First-principles (PBE-GGA) data for a relaxed La2PrZn2 crystal, as listed in Alexandria.

POSCAR file:
```
La2PrZn2
1.0
3.7581 0.0000 -0.5042
0.0000 5.3525 0.0000
-0.0241 0.0000 14.1200
La Zn Pr
4 4 2
Cartesian
2.8776 1.3381 7.1927
0.8563 4.0143 6.4230
3.5659 1.3381 12.3588
0.1681 4.0143 1.2569
2.3969 4.0143 3.6086
2.0655 1.3381 1.1242
1.3370 1.3381 10.0072
1.6684 4.0143 12.4915
3.2053 4.0143 9.7082
0.5286 1.3381 3.9076
```

Output
V   284.0 Å³/cell
DOS(E_F)   1.222 states/eV per atom
Formation energy   -0.23 eV/atom
ΔE to the lowest computed polymorph   0.0 meV/atom

---

Record 9
First-principles (PBE-GGA) data for a relaxed CsLi2CdGe crystal, as listed in Alexandria.

POSCAR file:
```
CsLi2CdGe
1.0
-2.1808 -3.4045 3.3804
-3.2079 -1.7263 -3.8082
3.7982 -3.8686 -1.4458
Cd Ge Li Cs
1 1 2 1
Cartesian
1.8991 -1.9343 -0.7229
0.0000 0.0000 0.0000
-1.0904 -1.7022 1.6902
-1.6040 -0.8632 -1.9041
-0.7953 -4.4997 -0.9368
```

Output
V   155.8 Å³/cell
DOS(E_F)   0.484 states/eV per atom
Formation energy   -0.08 eV/atom

---

Record 10
First-principles (PBE-GGA) data for a relaxed TlSNF2 crystal, as listed in Alexandria.

POSCAR file:
```
TlSNF2
1.0
4.7967 0.0000 0.0000
0.0000 4.7967 0.0000
0.0000 0.0000 3.3562
N Tl F S
1 1 2 1
Cartesian
0.0000 0.0000 1.6781
2.3983 2.3983 1.6781
2.3983 0.0000 0.0000
0.0000 2.3983 0.0000
0.0000 0.0000 0.0000
```

Output
E_form (uncorrected)   -0.38 eV per atom
V   77.2 Å³/cell
DOS(E_F)   0.162 states/eV per atom
ΔE to the lowest computed polymorph   0.0 meV/atom

---

Record 11
First-principles (PBE-GGA) data for a relaxed Cs2AcTe4 crystal, as listed in Alexandria.

POSCAR file:
```
Cs2AcTe4
1.0
5.2730 0.0000 0.0000
0.0000 6.7090 0.0000
0.0000 -3.3545 9.9818
Cs Ac Te
2 1 4
Cartesian
2.6365 3.3545 6.1534
2.6365 0.0000 3.8284
0.0000 3.3545 0.0000
0.0000 3.3545 8.6408
2.6365 0.0000 7.8278
2.6365 3.3545 2.1539
0.0000 0.0000 1.3410
```

Output
E_form (uncorrected)   -0.86 eV per atom
V   353.1 Å³/cell
DOS(E_F)   0.605 states/eV per atom

---

Record 12
First-principles (PBE-GGA) data for a relaxed Ho3Tl3SbS8 crystal, as listed in Alexandria.

POSCAR file:
```
Ho3Tl3SbS8
1.0
-7.7070 1.8817 -0.3742
3.2969 -4.4051 -5.7311
-1.3625 -4.0201 7.8142
S Ho Tl Sb
8 3 3 1
Cartesian
0.5014 -6.6079 -0.2177
-2.3126 -0.9037 2.1188
-5.0595 -3.4634 2.5041
-0.7131 -3.0801 -0.7951
-3.4600 -5.6398 -0.4099
-4.5787 -2.2004 -1.0207
-1.1939 -4.3432 2.7296
-6.2739 0.0643 1.9266
-2.8863 -3.2718 0.8545
-4.5347 -1.0692 3.7200
0.9672 -4.2126 1.0415
0.0000 0.0000 0.0000
1.6485 -2.2025 -2.8655
-2.2050 -1.2617 -3.0526
-0.6812 -2.0101 3.9071
```

Output
E_form (uncorrected)   -1.21 eV per atom
V   416.3 Å³/cell
DOS(E_F)   0.169 states/eV per atom